# 1
Density functional theory data (PBE) for crystalline HoEr2Ga3 at its relaxed geometry.

a = 10.609 Å, b = 10.609 Å, c = 6.151 Å
α = 90.00°, β = 90.00°, γ = 155.45°
Fractional positions:
1 Ho 0.178 0.822 0.750
2 Ho 0.822 0.178 0.250
3 Er 0.359 0.641 0.750
4 Er 0.467 0.533 0.250
5 Er 0.533 0.467 0.750
6 Er 0.641 0.359 0.250
7 Ga 0.063 0.937 0.043
8 Ga 0.063 0.937 0.457
9 Ga 0.234 0.766 0.250
10 Ga 0.766 0.234 0.750
11 Ga 0.937 0.063 0.543
12 Ga 0.937 0.063 0.957

- Space-group type: Cmcm
- Energy: -51.6 eV per cell
- Energy of formation: -499 meV/atom
- Distance to the lowest polymorph of the same formula: 78 meV/atom
- Calculated density: 8.182 Mg/m³


# 2
Density functional theory data (PBE) for crystalline Pr2NiP4Rh3 at its relaxed geometry.

a = 4.194 Å, b = 4.194 Å, c = 9.481 Å
α = 90.00°, β = 90.00°, γ = 90.00°
Fractional positions:
1 Pr 0.000 0.500 0.247
2 Pr 0.500 0.000 0.753
3 Ni 0.000 0.000 0.500
4 P 0.000 0.000 0.000
5 P 0.000 0.500 0.630
6 P 0.500 0.000 0.370
7 P 0.500 0.500 0.000
8 Rh 0.000 0.500 0.887
9 Rh 0.500 0.000 0.113
10 Rh 0.500 0.500 0.500

- Space-group type: P-4m2
- Energy: -69.4 eV per cell
- Energy of formation: -1037 meV/atom
- Calculated density: 7.697 Mg/m³


# 3
Density functional theory data (PBE) for crystalline BaLi2La2Sn2 at its relaxed geometry.

a = 10.430 Å, b = 10.430 Å, c = 10.430 Å
α = 27.81°, β = 27.81°, γ = 27.81°
Fractional positions:
1 Ba 0.000 0.000 0.000
2 Li 0.419 0.419 0.419
3 Li 0.581 0.581 0.581
4 La 0.134 0.134 0.134
5 La 0.866 0.866 0.866
6 Sn 0.252 0.252 0.252
7 Sn 0.748 0.748 0.748

- Space-group type: R-3m
- Energy: -27.2 eV per cell
- Energy of formation: -517 meV/atom
- Calculated density: 5.074 Mg/m³


# 4
Density functional theory data (PBE) for crystalline SrMg3Cd2 at its relaxed geometry.

a = 5.012 Å, b = 5.012 Å, c = 14.545 Å
α = 90.00°, β = 90.00°, γ = 120.00°
Fractional positions:
1 Sr 0.000 0.000 0.250
2 Sr 0.000 0.000 0.750
3 Mg 0.000 0.000 0.000
4 Mg 0.000 0.000 0.500
5 Mg 0.333 0.667 0.087
6 Mg 0.333 0.667 0.413
7 Mg 0.667 0.333 0.587
8 Mg 0.667 0.333 0.913
9 Cd 0.333 0.667 0.624
10 Cd 0.333 0.667 0.876
11 Cd 0.667 0.333 0.124
12 Cd 0.667 0.333 0.376

- Space-group type: P6_3/mmc
- Energy: -18.5 eV per cell
- Energy of formation: -161 meV/atom
- Distance to the lowest polymorph of the same formula: 23 meV/atom
- Calculated density: 4.045 Mg/m³


# 5
Density functional theory data (PBE) for crystalline Cu2Ag14Se9 at its relaxed geometry.

a = 7.702 Å, b = 7.702 Å, c = 10.900 Å
α = 90.00°, β = 90.00°, γ = 120.00°
Fractional positions:
1 Cu 0.333 0.667 0.287
2 Cu 0.667 0.333 0.713
3 Ag 0.000 0.000 0.253
4 Ag 0.000 0.000 0.747
5 Ag 0.011 0.690 0.418
6 Ag 0.058 0.688 0.923
7 Ag 0.310 0.321 0.418
8 Ag 0.312 0.370 0.923
9 Ag 0.321 0.011 0.582
10 Ag 0.370 0.058 0.077
11 Ag 0.630 0.942 0.923
12 Ag 0.679 0.989 0.418
13 Ag 0.688 0.630 0.077
14 Ag 0.690 0.679 0.582
15 Ag 0.942 0.312 0.077
16 Ag 0.989 0.310 0.582
17 Se 0.000 0.000 0.000
18 Se 0.001 0.649 0.675
19 Se 0.333 0.667 0.057
20 Se 0.351 0.352 0.675
21 Se 0.352 0.001 0.325
22 Se 0.648 0.999 0.675
23 Se 0.649 0.648 0.325
24 Se 0.667 0.333 0.943
25 Se 0.999 0.351 0.325

- Space-group type: P-3
- Energy: -80.4 eV per cell
- Uncorrected formation energy: -0.9 eV per formula unit
- Calculated density: 6.962 Mg/m³


# 6
Density functional theory data (PBE) for crystalline Cu3AgTe3 at its relaxed geometry.

a = 10.085 Å, b = 4.172 Å, c = 10.086 Å
α = 90.00°, β = 119.98°, γ = 90.00°
Fractional positions:
1 Cu 0.034 0.250 0.441
2 Cu 0.407 0.250 0.966
3 Cu 0.441 0.750 0.407
4 Cu 0.559 0.250 0.593
5 Cu 0.593 0.750 0.034
6 Cu 0.966 0.750 0.559
7 Ag 0.334 0.250 0.667
8 Ag 0.666 0.750 0.333
9 Te 0.096 0.250 0.730
10 Te 0.270 0.250 0.366
11 Te 0.366 0.750 0.096
12 Te 0.634 0.250 0.904
13 Te 0.730 0.750 0.634
14 Te 0.904 0.750 0.270

- Space-group type: P2_1/m
- Energy: -49.5 eV per cell
- Uncorrected formation energy: -0.2 eV per formula unit
- Distance to the lowest polymorph of the same formula: 6 meV/atom
- Calculated density: 6.156 Mg/m³


# 7
Density functional theory data (PBE) for crystalline ErThZnFe at its relaxed geometry.

a = 4.960 Å, b = 4.960 Å, c = 4.960 Å
α = 60.00°, β = 60.00°, γ = 60.00°
Fractional positions:
1 Er 0.000 0.000 0.000
2 Th 0.500 0.500 0.500
3 Zn 0.750 0.750 0.750
4 Fe 0.250 0.250 0.250

- Space-group type: F-43m
- Energy: -21.9 eV per cell
- Energy of formation: -49 meV/atom
- Calculated density: 10.015 Mg/m³


# 8
Density functional theory data (PBE) for crystalline AlCuTc2 at its relaxed geometry.

a = 8.749 Å, b = 8.749 Å, c = 8.749 Å
α = 18.16°, β = 18.16°, γ = 18.16°
Fractional positions:
1 Al 0.000 0.000 0.000
2 Cu 0.253 0.253 0.253
3 Tc 0.499 0.499 0.499
4 Tc 0.752 0.752 0.752

- Space-group type: R3m
- Energy: -28.8 eV per cell
- Energy of formation: -52 meV/atom
- Calculated density: 8.376 Mg/m³


# 9
Density functional theory data (PBE) for crystalline CsYW2 at its relaxed geometry.

a = 6.608 Å, b = 6.608 Å, c = 6.608 Å
α = 100.32°, β = 100.32°, γ = 129.91°
Fractional positions:
1 Cs 0.000 0.000 0.000
2 Cs 0.750 0.250 0.500
3 Y 0.250 0.750 0.500
4 Y 0.500 0.500 0.000
5 W 0.128 0.625 0.003
6 W 0.375 0.378 0.503
7 W 0.622 0.125 0.997
8 W 0.875 0.872 0.497

- Space-group type: I-42d
- Energy: -48.1 eV per cell
- Energy of formation: 2290 meV/atom
- Distance to the lowest polymorph of the same formula: 40 meV/atom
- Calculated density: 9.765 Mg/m³


# 10
Density functional theory data (PBE) for crystalline AlSb2Te at its relaxed geometry.

a = 3.699 Å, b = 5.154 Å, c = 5.395 Å
α = 90.00°, β = 90.00°, γ = 90.00°
Fractional positions:
1 Al 0.000 0.000 0.000
2 Sb 0.000 0.500 0.500
3 Sb 0.500 0.500 0.000
4 Te 0.500 0.000 0.500

- Space-group type: Pmmm
- Energy: -14.2 eV per cell
- Uncorrected formation energy: 0.9 eV per formula unit
- Distance to the lowest polymorph of the same formula: 307 meV/atom
- Calculated density: 6.426 Mg/m³


# 11
Density functional theory data (PBE) for crystalline PaGeBi2 at its relaxed geometry.

a = 4.108 Å, b = 4.108 Å, c = 6.370 Å
α = 90.00°, β = 90.00°, γ = 90.00°
Fractional positions:
1 Pa 0.000 0.000 0.000
2 Ge 0.000 0.000 0.500
3 Bi 0.500 0.500 0.250
4 Bi 0.500 0.500 0.750

- Space-group type: P4/mmm
- Energy: -22.0 eV per cell
- Energy of formation: -36 meV/atom
- Distance to the lowest polymorph of the same formula: 82 meV/atom
- Calculated density: 11.148 Mg/m³


# 12
Density functional theory data (PBE) for crystalline LaPd2Rh at its relaxed geometry.

a = 10.259 Å, b = 10.259 Å, c = 10.259 Å
α = 157.38°, β = 157.38°, γ = 32.20°
Fractional positions:
1 La 0.000 0.000 0.000
2 La 0.750 0.250 0.500
3 Pd 0.145 0.625 0.020
4 Pd 0.375 0.395 0.520
5 Pd 0.605 0.125 0.980
6 Pd 0.875 0.855 0.480
7 Rh 0.250 0.750 0.500
8 Rh 0.500 0.500 0.000

- Space-group type: I-42d
- Energy: -48.3 eV per cell
- Energy of formation: -368 meV/atom
- Calculated density: 9.460 Mg/m³


# 13
Density functional theory data (PBE) for crystalline Ho2Pd4Au at its relaxed geometry.

a = 9.490 Å, b = 9.490 Å, c = 9.490 Å
α = 155.94°, β = 155.94°, γ = 34.28°
Fractional positions:
1 Ho 0.113 0.113 0.000
2 Ho 0.887 0.887 0.000
3 Pd 0.250 0.750 0.500
4 Pd 0.354 0.354 0.000
5 Pd 0.646 0.646 0.000
6 Pd 0.750 0.250 0.500
7 Au 0.500 0.500 0.000

- Space-group type: I4/mmm
- Energy: -38.2 eV per cell
- Energy of formation: -720 meV/atom
- Calculated density: 11.149 Mg/m³


# 14
Density functional theory data (PBE) for crystalline Y4BiPd at its relaxed geometry.

a = 8.251 Å, b = 8.251 Å, c = 6.010 Å
α = 102.72°, β = 102.72°, γ = 113.94°
Fractional positions:
1 Y 0.070 0.706 0.928
2 Y 0.205 0.358 0.662
3 Y 0.294 0.930 0.572
4 Y 0.358 0.205 0.162
5 Y 0.642 0.795 0.838
6 Y 0.706 0.070 0.428
7 Y 0.795 0.642 0.338
8 Y 0.930 0.294 0.072
9 Bi 0.379 0.621 0.250
10 Bi 0.621 0.379 0.750
11 Pd 0.002 0.998 0.750
12 Pd 0.998 0.002 0.250

- Space-group type: C2/c
- Energy: -76.2 eV per cell
- Energy of formation: -528 meV/atom
- Distance to the lowest polymorph of the same formula: 53 meV/atom
- Calculated density: 6.514 Mg/m³


# 15
Density functional theory data (PBE) for crystalline Tb2SmYTh at its relaxed geometry.

a = 8.895 Å, b = 8.895 Å, c = 6.446 Å
α = 90.00°, β = 90.00°, γ = 137.29°
Fractional positions:
1 Tb 0.246 0.246 0.000
2 Tb 0.246 0.246 0.500
3 Tb 0.754 0.754 0.000
4 Tb 0.754 0.754 0.500
5 Sm 0.343 0.657 0.750
6 Sm 0.657 0.343 0.250
7 Y 0.234 0.766 0.250
8 Y 0.766 0.234 0.750
9 Th 0.156 0.844 0.750
10 Th 0.844 0.156 0.250

- Space-group type: Cmcm
- Energy: -51.8 eV per cell
- Energy of formation: 389 meV/atom
- Calculated density: 7.577 Mg/m³


# 16
Density functional theory data (PBE) for crystalline TaBi2Ir at its relaxed geometry.

a = 4.923 Å, b = 4.923 Å, c = 4.923 Å
α = 60.00°, β = 60.00°, γ = 60.00°
Fractional positions:
1 Ta 0.000 0.000 0.000
2 Bi 0.250 0.250 0.250
3 Bi 0.750 0.750 0.750
4 Ir 0.500 0.500 0.500

- Space-group type: Fm-3m
- Energy: -26.0 eV per cell
- Energy of formation: 614 meV/atom
- Distance to the lowest polymorph of the same formula: 0 meV/atom
- Calculated density: 15.576 Mg/m³


# 17
Density functional theory data (PBE) for crystalline Tb3Tl5Pd12 at its relaxed geometry.

a = 13.824 Å, b = 13.824 Å, c = 13.824 Å
α = 109.47°, β = 109.47°, γ = 109.47°
Fractional positions:
1 Tb 0.125 0.250 0.375
2 Tb 0.125 0.375 0.750
3 Tb 0.250 0.375 0.125
4 Tb 0.250 0.875 0.625
5 Tb 0.375 0.125 0.250
6 Tb 0.375 0.750 0.125
7 Tb 0.625 0.250 0.875
8 Tb 0.625 0.875 0.750
9 Tb 0.750 0.125 0.375
10 Tb 0.750 0.625 0.875
11 Tb 0.875 0.625 0.250
12 Tb 0.875 0.750 0.625
13 Tl 0.000 0.000 0.000
14 Tl 0.000 0.000 0.500
15 Tl 0.000 0.500 0.000
16 Tl 0.000 0.500 0.500
17 Tl 0.125 0.750 0.875
18 Tl 0.125 0.875 0.250
19 Tl 0.250 0.125 0.875
20 Tl 0.250 0.625 0.375
21 Tl 0.375 0.250 0.625
22 Tl 0.375 0.625 0.750
23 Tl 0.500 0.000 0.000
24 Tl 0.500 0.000 0.500
25 Tl 0.500 0.500 0.000
26 Tl 0.500 0.500 0.500
27 Tl 0.625 0.375 0.250
28 Tl 0.625 0.750 0.375
29 Tl 0.750 0.375 0.625
30 Tl 0.750 0.875 0.125
31 Tl 0.875 0.125 0.750
32 Tl 0.875 0.250 0.125
33 Pd 0.072 0.226 0.150
34 Pd 0.072 0.346 0.922
35 Pd 0.076 0.726 0.654
36 Pd 0.076 0.850 0.422
37 Pd 0.078 0.650 0.424
38 Pd 0.078 0.928 0.654
39 Pd 0.150 0.072 0.226
40 Pd 0.150 0.578 0.924
41 Pd 0.154 0.226 0.576
42 Pd 0.154 0.428 0.578
43 Pd 0.226 0.150 0.072
44 Pd 0.226 0.576 0.154
45 Pd 0.274 0.346 0.924
46 Pd 0.274 0.428 0.350
47 Pd 0.346 0.922 0.072
48 Pd 0.346 0.924 0.274
49 Pd 0.350 0.274 0.428
50 Pd 0.350 0.576 0.922
51 Pd 0.422 0.076 0.850
52 Pd 0.422 0.846 0.572
53 Pd 0.424 0.078 0.650
54 Pd 0.424 0.846 0.774
55 Pd 0.428 0.350 0.274
56 Pd 0.428 0.578 0.154
57 Pd 0.572 0.422 0.846
58 Pd 0.572 0.650 0.726
59 Pd 0.576 0.154 0.226
60 Pd 0.576 0.922 0.350
61 Pd 0.578 0.154 0.428
62 Pd 0.578 0.924 0.150
63 Pd 0.650 0.424 0.078
64 Pd 0.650 0.726 0.572
65 Pd 0.654 0.076 0.726
66 Pd 0.654 0.078 0.928
67 Pd 0.726 0.572 0.650
68 Pd 0.726 0.654 0.076
69 Pd 0.774 0.424 0.846
70 Pd 0.774 0.850 0.928
71 Pd 0.846 0.572 0.422
72 Pd 0.846 0.774 0.424
73 Pd 0.850 0.422 0.076
74 Pd 0.850 0.928 0.774
75 Pd 0.922 0.072 0.346
76 Pd 0.922 0.350 0.576
77 Pd 0.924 0.150 0.578
78 Pd 0.924 0.274 0.346
79 Pd 0.928 0.654 0.078
80 Pd 0.928 0.774 0.850

- Space-group type: Ia-3d
- Energy: -360.8 eV per cell
- Energy of formation: -108 meV/atom
- Calculated density: 9.066 Mg/m³


# 18
Density functional theory data (PBE) for crystalline K2USnTe4 at its relaxed geometry.

a = 8.069 Å, b = 4.581 Å, c = 8.480 Å
α = 90.00°, β = 107.56°, γ = 90.00°
Fractional positions:
1 K 0.000 0.000 0.000
2 K 0.500 0.500 0.000
3 U 0.000 0.500 0.500
4 Sn 0.500 0.000 0.500
5 Te 0.226 0.000 0.705
6 Te 0.249 0.500 0.293
7 Te 0.751 0.500 0.707
8 Te 0.774 0.000 0.295

- Space-group type: P2/m
- Energy: -36.3 eV per cell
- Uncorrected formation energy: -6.2 eV per formula unit
- Calculated density: 5.252 Mg/m³


# 19
Density functional theory data (PBE) for crystalline BaInAs2 at its relaxed geometry.

a = 6.856 Å, b = 6.856 Å, c = 6.856 Å
α = 109.27°, β = 109.27°, γ = 109.87°
Fractional positions:
1 Ba 0.000 0.000 0.000
2 Ba 0.750 0.250 0.500
3 In 0.250 0.750 0.500
4 In 0.500 0.500 0.000
5 As 0.189 0.625 0.064
6 As 0.375 0.439 0.564
7 As 0.561 0.125 0.936
8 As 0.875 0.811 0.436

- Space-group type: I-42d
- Energy: -32.0 eV per cell
- Energy of formation: -511 meV/atom
- Calculated density: 5.382 Mg/m³


# 20
Density functional theory data (PBE) for crystalline Hf2MgFeHg at its relaxed geometry.

a = 4.700 Å, b = 4.700 Å, c = 4.935 Å
α = 90.00°, β = 90.00°, γ = 90.00°
Fractional positions:
1 Hf 0.000 0.500 0.000
2 Hf 0.500 0.000 0.000
3 Mg 0.000 0.000 0.500
4 Fe 0.000 0.000 0.000
5 Hg 0.500 0.500 0.500

- Space-group type: P4/mmm
- Energy: -29.1 eV per cell
- Energy of formation: 243 meV/atom
- Calculated density: 9.713 Mg/m³